# 1
{"formula": "Zr3ClF", "functional": "meta-GGA SCAN", "state": "single point on PBEsol structure", "formation_energy_uncorrected_kcal_per_mol_atoms": 2.2, "n_ef_per_ev_atom": 0.73, "sg": "No. 221", "dft_energy_ev_per_atom": -20.6281, "lattice": [[-4.084, -1.753, 1.605], [2.336, -2.373, 3.353], [-0.438, 3.691, 2.917]], "species": ["Zr", "Zr", "Zr", "Cl", "F"], "frac_coords": [[0.500, 0.000, 0.000], [0.000, 0.000, 0.500], [0.000, 0.500, 0.000], [0.000, 0.000, 0.000], [0.500, 0.500, 0.500]]}

=====

# 2
{"formula": "HfZr3Rh", "functional": "meta-GGA SCAN", "state": "single point on PBEsol structure", "n_ef_per_ev_atom": 1.21, "e_form_kcal_per_mol_atoms": 5.3, "sg": "No. 221", "dft_energy_ev_per_atom": -37.4766, "lattice": [[-3.552, -1.776, -2.918], [3.181, -0.187, -3.759], [1.244, -4.594, 1.281]], "species": ["Zr", "Zr", "Zr", "Hf", "Rh"], "frac_coords": [[0.000, 0.500, 0.000], [0.000, 0.000, 0.500], [0.500, 0.000, 0.000], [0.500, 0.500, 0.500], [0.000, 0.000, 0.000]]}

=====

# 3
{"formula": "Fe15O16", "functional": "meta-GGA SCAN", "state": "single point on PBEsol structure", "formation_energy_uncorrected_kcal_per_mol_atoms": -30.4, "n_ef_per_ev_atom": 0.26, "sg": "No. 1", "dft_energy_ev_per_atom": -13.3063, "lattice": [[6.046, 0.079, -0.008], [0.068, 5.939, -0.017], [-0.080, -0.078, 8.389]], "species": ["O", "O", "O", "O", "O", "O", "O", "O", "O", "O", "O", "O", "O", "O", "O", "O", "Fe", "Fe", "Fe", "Fe", "Fe", "Fe", "Fe", "Fe", "Fe", "Fe", "Fe", "Fe", "Fe", "Fe", "Fe"], "frac_coords": [[0.739, 0.744, 0.498], [0.490, 0.509, 0.231], [0.250, 0.256, 0.507], [0.257, 0.744, 0.496], [0.991, 0.478, 0.246], [0.290, 0.279, 0.982], [0.765, 0.253, 0.522], [0.748, 0.253, 0.018], [0.499, 0.005, 0.742], [0.003, 0.507, 0.755], [0.988, 0.003, 0.766], [0.723, 0.733, 0.994], [0.506, 0.509, 0.759], [0.971, 0.988, 0.271], [0.484, 0.988, 0.245], [0.295, 0.734, 0.993], [0.016, 0.001, 0.514], [0.499, 0.481, 0.486], [0.747, 0.740, 0.244], [0.515, 0.494, 0.998], [0.738, 0.254, 0.774], [0.012, 0.578, 0.008], [0.503, 0.018, 0.485], [0.227, 0.751, 0.243], [0.005, 0.505, 0.491], [0.224, 0.234, 0.747], [0.508, 0.013, 0.000], [0.245, 0.766, 0.746], [0.694, 0.249, 0.280], [0.759, 0.761, 0.744], [0.052, 0.190, 0.106]]}

=====

# 4
{"formula": "CsReNO2", "functional": "meta-GGA SCAN", "state": "single point on PBEsol structure", "formation_energy_uncorrected_kcal_per_mol_atoms": -19.8, "n_ef_per_ev_atom": 0.17, "sg": "No. 123", "dft_energy_ev_per_atom": -26.9915, "lattice": [[3.950, 0.000, 0.000], [0.000, 4.045, 0.000], [0.000, 0.000, 4.045]], "species": ["N", "Re", "O", "O", "Cs"], "frac_coords": [[0.500, 0.000, 0.000], [0.000, 0.000, 0.000], [0.000, 0.500, 0.000], [0.000, 0.000, 0.500], [0.500, 0.500, 0.500]]}

=====

# 5
{"formula": "CuAsPt", "functional": "meta-GGA SCAN", "state": "single point on PBEsol structure", "polymorph_energy_mev_per_atom": 19, "n_ef_per_ev_atom": 0.50, "e_form_kcal_per_mol_atoms": -2.7, "sg": "No. 216", "dft_energy_ev_per_atom": -35.3135, "lattice": [[-1.909, 1.715, 3.166], [-3.753, -1.218, 1.020], [-0.590, -2.133, 3.422]], "species": ["Cu", "Pt", "As"], "frac_coords": [[0.000, 0.000, 0.000], [0.500, 0.500, 0.500], [0.750, 0.750, 0.750]]}

=====

# 6
{"formula": "Zn2SiW", "functional": "meta-GGA SCAN", "state": "single point on PBEsol structure", "formation_energy_uncorrected_kcal_per_mol_atoms": 6.5, "n_ef_per_ev_atom": 0.47, "sg": "No. 65", "dft_energy_ev_per_atom": -26.4029, "lattice": [[-1.124, -1.811, 1.760], [4.197, -0.364, 2.307], [-3.008, 3.397, 1.575]], "species": ["Zn", "Zn", "W", "Si"], "frac_coords": [[0.000, 0.000, 0.500], [0.000, 0.500, 0.000], [0.500, 0.500, 0.500], [0.500, 0.000, 0.000]]}

=====

# 7
{"formula": "CdIn5", "functional": "meta-GGA SCAN", "state": "single point on PBEsol structure", "n_ef_per_ev_atom": 0.41, "e_form_kcal_per_mol_atoms": 1.6, "sg": "No. 123", "dft_energy_ev_per_atom": -32.8231, "lattice": [[-2.221, 0.795, 2.310], [-2.178, -2.058, -1.387], [4.555, -10.119, 7.862]], "species": ["In", "In", "In", "In", "In", "Cd"], "frac_coords": [[0.500, 0.500, 0.329], [0.000, 0.000, 0.843], [0.500, 0.500, 0.671], [0.000, 0.000, 0.157], [0.000, 0.000, 0.500], [0.500, 0.500, 0.000]]}

=====

# 8
{"formula": "AgRh", "functional": "meta-GGA SCAN", "state": "single point on PBEsol structure", "n_ef_per_ev_atom": 0.66, "e_form_kcal_per_mol_atoms": 8.1, "sg": "No. 227", "dft_energy_ev_per_atom": -32.2175, "lattice": [[4.404, 0.000, 0.000], [2.202, 3.814, 0.000], [2.202, 1.271, 3.596]], "species": ["Ag", "Ag", "Rh", "Rh"], "frac_coords": [[0.000, 0.000, 0.000], [0.250, 0.250, 0.250], [0.750, 0.750, 0.750], [0.500, 0.500, 0.500]]}

=====

# 9
{"formula": "MnBe2W", "functional": "meta-GGA SCAN", "state": "single point on PBEsol structure", "polymorph_energy_mev_per_atom": 149, "n_ef_per_ev_atom": 0.49, "e_form_kcal_per_mol_atoms": 2.9, "sg": "No. 99", "dft_energy_ev_per_atom": -24.0384, "lattice": [[2.884, 0.000, 0.000], [0.000, 2.884, 0.000], [0.000, 0.000, 5.310]], "species": ["W", "Be", "Be", "Mn"], "frac_coords": [[0.500, 0.500, 0.733], [0.000, 0.000, 0.035], [0.500, 0.500, 0.241], [0.000, 0.000, 0.491]]}

=====

# 10
{"formula": "CoPd3", "functional": "meta-GGA SCAN", "state": "single point on PBEsol structure", "n_ef_per_ev_atom": 1.00, "e_form_kcal_per_mol_atoms": 0.7, "sg": "No. 194", "dft_energy_ev_per_atom": -28.8748, "lattice": [[-0.020, 0.459, -4.353], [-5.343, 0.547, 0.082], [3.150, 4.328, 0.442]], "species": ["Co", "Co", "Pd", "Pd", "Pd", "Pd", "Pd", "Pd"], "frac_coords": [[0.750, 0.333, 0.667], [0.250, 0.667, 0.333], [0.750, 0.830, 0.170], [0.750, 0.830, 0.661], [0.250, 0.170, 0.339], [0.750, 0.339, 0.170], [0.250, 0.661, 0.830], [0.250, 0.170, 0.830]]}

=====

# 11
{"formula": "KZnPO4", "functional": "meta-GGA SCAN", "state": "single point on PBEsol structure", "formation_energy_uncorrected_kcal_per_mol_atoms": -54.0, "n_ef_per_ev_atom": 0.00, "sg": "No. 33", "dft_energy_ev_per_atom": -10.5087, "lattice": [[-4.927, 1.820, -0.756], [-0.073, -3.440, -7.801], [-3.334, -7.614, 3.389]], "species": ["O", "O", "O", "O", "O", "O", "O", "O", "O", "O", "O", "O", "O", "O", "O", "O", "K", "K", "K", "K", "P", "P", "P", "P", "Zn", "Zn", "Zn", "Zn"], "frac_coords": [[0.865, 0.239, 0.063], [0.887, 0.231, 0.784], [0.054, 0.469, 0.920], [0.865, 0.739, 0.437], [0.387, 0.769, 0.216], [0.789, 0.286, 0.440], [0.054, 0.969, 0.580], [0.789, 0.786, 0.060], [0.289, 0.714, 0.560], [0.365, 0.261, 0.563], [0.387, 0.269, 0.284], [0.365, 0.761, 0.937], [0.289, 0.214, 0.940], [0.887, 0.731, 0.716], [0.554, 0.531, 0.080], [0.554, 0.031, 0.420], [0.527, 0.997, 0.766], [0.027, 0.003, 0.234], [0.527, 0.497, 0.734], [0.027, 0.503, 0.266], [0.524, 0.710, 0.074], [0.524, 0.210, 0.426], [0.024, 0.790, 0.574], [0.024, 0.290, 0.926], [0.518, 0.305, 0.086], [0.518, 0.805, 0.414], [0.018, 0.195, 0.586], [0.018, 0.695, 0.914]]}

=====

# 12
{"formula": "YZnSb4", "functional": "meta-GGA SCAN", "state": "single point on PBEsol structure", "formation_energy_uncorrected_kcal_per_mol_atoms": 1.7, "n_ef_per_ev_atom": 0.67, "sg": "No. 216", "dft_energy_ev_per_atom": -31.6600, "lattice": [[6.131, 0.000, 0.000], [3.065, 5.309, 0.000], [3.065, 1.770, 5.006]], "species": ["Sb", "Sb", "Sb", "Sb", "Y", "Zn"], "frac_coords": [[0.123, 0.626, 0.626], [0.626, 0.626, 0.626], [0.626, 0.123, 0.626], [0.626, 0.626, 0.123], [0.250, 0.250, 0.250], [0.000, 0.000, 0.000]]}

=====

# 13
{"formula": "MnSbH2Pd", "functional": "meta-GGA SCAN", "state": "single point on PBEsol structure", "n_ef_per_ev_atom": 0.21, "sg": "No. 123", "dft_energy_ev_per_atom": -18.9287, "lattice": [[-2.677, 1.072, -2.240], [-0.209, -3.380, -1.367], [-3.608, -1.275, 3.702]], "species": ["Mn", "Sb", "H", "H", "Pd"], "frac_coords": [[0.500, 0.500, 0.500], [0.000, 0.000, 0.500], [0.500, 0.000, 0.000], [0.000, 0.500, 0.000], [0.000, 0.000, 0.000]]}

=====

# 14
{"formula": "NaLiV2O6", "functional": "meta-GGA SCAN", "state": "single point on PBEsol structure", "formation_energy_uncorrected_kcal_per_mol_atoms": -58.3, "polymorph_energy_mev_per_atom": 0, "n_ef_per_ev_atom": 0.00, "sg": "No. 15", "dft_energy_ev_per_atom": -10.4249, "lattice": [[5.799, 0.004, 0.004], [1.736, 6.567, -0.001], [1.736, 0.375, 6.556]], "species": ["Li", "Li", "V", "V", "V", "V", "O", "O", "O", "O", "O", "O", "O", "O", "O", "O", "O", "O", "Na", "Na"], "frac_coords": [[0.250, 0.913, 0.087], [0.750, 0.087, 0.913], [0.757, 0.197, 0.381], [0.257, 0.381, 0.197], [0.243, 0.803, 0.619], [0.743, 0.619, 0.803], [0.536, 0.645, 0.641], [0.293, 0.911, 0.387], [0.793, 0.387, 0.911], [0.707, 0.089, 0.613], [0.642, 0.792, 0.978], [0.358, 0.208, 0.022], [0.207, 0.613, 0.089], [0.036, 0.641, 0.645], [0.858, 0.022, 0.208], [0.464, 0.355, 0.359], [0.964, 0.359, 0.355], [0.142, 0.978, 0.792], [0.750, 0.714, 0.286], [0.250, 0.286, 0.714]]}

=====

# 15
{"formula": "CrReW2", "functional": "meta-GGA SCAN", "state": "single point on PBEsol structure", "polymorph_energy_mev_per_atom": 3, "n_ef_per_ev_atom": 0.62, "e_form_kcal_per_mol_atoms": -0.1, "sg": "No. 123", "dft_energy_ev_per_atom": -57.2189, "lattice": [[3.054, 0.000, 0.000], [0.000, 3.054, 0.000], [0.000, 0.000, 6.149]], "species": ["Cr", "W", "W", "Re"], "frac_coords": [[0.500, 0.500, 0.000], [0.000, 0.000, 0.236], [0.000, 0.000, 0.764], [0.500, 0.500, 0.500]]}

=====

# 16
{"formula": "LaSbAs2", "functional": "meta-GGA SCAN", "state": "single point on PBEsol structure", "formation_energy_uncorrected_kcal_per_mol_atoms": -16.6, "n_ef_per_ev_atom": 0.24, "sg": "No. 10", "dft_energy_ev_per_atom": -30.9083, "lattice": [[4.076, 0.000, 0.000], [0.000, 4.296, -0.051], [0.000, -1.720, 5.964]], "species": ["As", "As", "Sb", "La"], "frac_coords": [[0.000, 0.645, 0.708], [0.000, 0.355, 0.292], [0.500, 0.500, 0.000], [0.500, 0.000, 0.500]]}

=====

# 17
{"formula": "Mn3Fe4", "functional": "meta-GGA SCAN", "state": "single point on PBEsol structure", "n_ef_per_ev_atom": 0.91, "e_form_kcal_per_mol_atoms": 2.3, "sg": "No. 139", "dft_energy_ev_per_atom": -18.0857, "lattice": [[2.761, 0.000, 0.000], [0.000, 2.761, 0.000], [-1.380, -1.380, 9.792]], "species": ["Fe", "Fe", "Fe", "Fe", "Mn", "Mn", "Mn"], "frac_coords": [[0.429, 0.429, 0.858], [0.858, 0.858, 0.715], [0.142, 0.142, 0.285], [0.571, 0.571, 0.142], [0.284, 0.284, 0.568], [0.000, 0.000, 0.000], [0.716, 0.716, 0.432]]}

=====

# 18
{"formula": "KRbSr2Se", "functional": "meta-GGA SCAN", "state": "single point on PBEsol structure", "formation_energy_uncorrected_kcal_per_mol_atoms": -15.6, "n_ef_per_ev_atom": 0.77, "sg": "No. 123", "dft_energy_ev_per_atom": -19.4153, "lattice": [[6.064, 0.000, 0.000], [0.000, 6.064, 0.000], [0.000, 0.000, 6.992]], "species": ["Sr", "Sr", "Rb", "K", "Se"], "frac_coords": [[0.500, 0.000, 0.000], [0.000, 0.500, 0.000], [0.500, 0.500, 0.500], [0.000, 0.000, 0.500], [0.000, 0.000, 0.000]]}

=====

# 19
{"formula": "BaCa2Pt", "functional": "meta-GGA SCAN", "state": "single point on PBEsol structure", "polymorph_energy_mev_per_atom": 302, "n_ef_per_ev_atom": 0.85, "e_form_kcal_per_mol_atoms": -5.4, "sg": "No. 225", "dft_energy_ev_per_atom": -32.5036, "lattice": [[5.338, 0.000, 0.000], [2.669, 4.623, 0.000], [2.669, 1.541, 4.358]], "species": ["Ca", "Ca", "Pt", "Ba"], "frac_coords": [[0.750, 0.750, 0.750], [0.250, 0.250, 0.250], [0.500, 0.500, 0.500], [0.000, 0.000, 0.000]]}

=====

# 20
{"formula": "LaMg2Cd", "functional": "meta-GGA SCAN", "state": "single point on PBEsol structure", "n_ef_per_ev_atom": 0.53, "e_form_kcal_per_mol_atoms": -4.6, "sg": "No. 6", "dft_energy_ev_per_atom": -21.0666, "lattice": [[3.233, 0.000, -0.009], [0.000, 4.893, 0.000], [-1.579, 0.000, 6.450]], "species": ["La", "Mg", "Mg", "Cd"], "frac_coords": [[0.298, 0.500, 0.724], [0.961, 0.000, 0.048], [0.561, 0.500, 0.241], [0.681, 0.000, 0.487]]}